# 1
Density functional theory data (PBE-GGA) for crystalline CrSi4Ru5 at its relaxed geometry.

## Properties
The value obtained for the total energy is -8.28 eV/atom. Its crystal system is tetragonal.

a = 2.9302 Å, b = 2.9302 Å, c = 14.9371 Å
α = 90.00°, β = 90.00°, γ = 90.00°
Last column: magnetic moment on the atom in μB.
Element x y z (fractional)
1 Ru 0.5000 0.5000 0.8905  -0.05
2 Ru 0.5000 0.5000 0.5000  -0.01
3 Ru 0.5000 0.5000 0.6959  -0.01
4 Ru 0.5000 0.5000 0.1095  -0.05
5 Si 0.0000 0.0000 0.2023  0.01
6 Si 0.0000 0.0000 0.5990  0.00
7 Cr 0.0000 0.0000 0.0000  2.16
8 Si 0.0000 0.0000 0.4010  0.00
9 Ru 0.5000 0.5000 0.3041  -0.01
10 Si 0.0000 0.0000 0.7977  0.01

# 2
Density functional theory data (PBE-GGA) for crystalline RbY2Mo at its relaxed geometry.

## Properties
Its crystal system is cubic. Its formation enthalpy at 0 K is 996 meV per atom.

a = 5.4047 Å, b = 5.4047 Å, c = 5.4047 Å
α = 60.00°, β = 60.00°, γ = 60.00°
Last column: magnetic moment on the atom in μB.
Element x y z (fractional)
1 Rb 0.0000 0.0000 0.0000  0.00
2 Mo 0.5000 0.5000 0.5000  0.98
3 Y 0.2500 0.2500 0.2500  -0.07
4 Y 0.7500 0.7500 0.7500  -0.07

# 3
Density functional theory data (PBE-GGA) for crystalline BeCuPb at its relaxed geometry.

## Properties
Its crystal system is orthorhombic. Its formation enthalpy at 0 K is 510 meV per atom.

a = 4.5658 Å, b = 4.5658 Å, c = 4.5658 Å
α = 133.74°, β = 129.54°, γ = 70.86°
Element x y z (fractional)
1 Pb 0.6716 0.6716 0.0000
2 Cu 0.3185 0.3185 0.0000
3 Be 0.0099 0.0099 0.0000

# 4
Density functional theory data (PBE-GGA) for crystalline LaTcRu at its relaxed geometry.

## Properties
Its crystal system is cubic. Its formation enthalpy at 0 K is 1207 meV per atom.

a = 4.4348 Å, b = 4.4348 Å, c = 4.4348 Å
α = 60.00°, β = 60.00°, γ = 60.00°
Element x y z (fractional)
1 Tc 0.5000 0.5000 0.5000
2 La 0.7500 0.7500 0.7500
3 Ru 0.0000 0.0000 0.0000

# 5
Density functional theory data (PBE-GGA) for crystalline AcAsOs at its relaxed geometry.

## Properties
Its crystal system is tetragonal. Its formation enthalpy at 0 K is -36 meV per atom.

a = 3.3148 Å, b = 3.3148 Å, c = 6.3895 Å
α = 105.03°, β = 105.03°, γ = 90.00°
Element x y z (fractional)
1 Ac 0.9943 0.9943 0.9887
2 Os 0.3021 0.3021 0.6042
3 As 0.7036 0.7036 0.4072

# 6
Density functional theory data (PBE-GGA) for crystalline TmTl2 at its relaxed geometry.

## Properties
Its crystal system is orthorhombic. Its formation enthalpy at 0 K is -131 meV per atom.

a = 3.7233 Å, b = 5.2887 Å, c = 8.6384 Å
α = 90.00°, β = 102.45°, γ = 90.00°
Element x y z (fractional)
1 Tm 0.4129 0.7500 0.8258
2 Tl 0.7516 0.7500 0.5031
3 Tl 0.2484 0.2500 0.4969
4 Tm 0.5871 0.2500 0.1742
5 Tl 0.9212 0.2500 0.8424
6 Tl 0.0788 0.7500 0.1576

# 7
Density functional theory data (PBE-GGA) for crystalline MgTe2Au at its relaxed geometry.

## Properties
The value obtained for the total energy is -2.77 eV/atom. Its crystal system is tetragonal.

a = 5.3994 Å, b = 5.3994 Å, c = 5.3994 Å
α = 126.61°, β = 126.61°, γ = 78.89°
Element x y z (fractional)
1 Te 0.5000 0.5000 0.0000
2 Te 0.0000 0.0000 0.0000
3 Mg 0.7500 0.2500 0.5000
4 Au 0.2500 0.7500 0.5000

# 8
Density functional theory data (PBE-GGA) for crystalline AgMo3Pb at its relaxed geometry.

## Properties
Its crystal system is cubic. Its formation enthalpy at 0 K is 2230 meV per atom.

a = 4.8676 Å, b = 4.8676 Å, c = 4.8676 Å
α = 90.00°, β = 90.00°, γ = 90.00°
Last column: magnetic moment on the atom in μB.
Element x y z (fractional)
1 Pb 0.5000 0.5000 0.5000  -0.01
2 Mo 0.0000 0.0000 0.5000  0.87
3 Mo 0.5000 0.0000 0.0000  0.77
4 Ag 0.0000 0.0000 0.0000  0.02
5 Mo 0.0000 0.5000 0.0000  0.65

# 9
Density functional theory data (PBE-GGA) for crystalline NdHo4Se5 at its relaxed geometry.

## Properties
The value obtained for the total energy is -5.79 eV/atom. Its crystal system is orthorhombic.

a = 4.0814 Å, b = 5.7796 Å, c = 10.8637 Å
α = 105.43°, β = 100.83°, γ = 90.00°
Element x y z (fractional)
1 Se 0.1985 0.6985 0.3969
2 Se 0.0000 0.5000 0.0000
3 Se 0.8015 0.3015 0.6031
4 Ho 0.4011 0.4011 0.8022
5 Nd 0.0000 0.0000 0.0000
6 Ho 0.7972 0.7972 0.5944
7 Se 0.6058 0.1058 0.2116
8 Ho 0.5989 0.5989 0.1978
9 Se 0.3942 0.8942 0.7884
10 Ho 0.2028 0.2028 0.4056

# 10
Density functional theory data (PBE-GGA) for crystalline HfSi2Ir3 at its relaxed geometry.

## Properties
The value obtained for the total energy is -8.70 eV/atom. Its crystal system is monoclinic.

a = 3.8906 Å, b = 8.1570 Å, c = 9.5920 Å
α = 108.04°, β = 90.00°, γ = 103.80°
Element x y z (fractional)
1 Si 0.3635 0.7270 0.5505
2 Ir 0.6789 0.3577 0.9526
3 Si 0.1953 0.3906 0.1280
4 Si 0.8047 0.6094 0.8720
5 Ir 0.3211 0.6423 0.0474
6 Ir 0.9635 0.9270 0.6801
7 Ir 0.7790 0.5579 0.6119
8 Ir 0.0365 0.0730 0.3199
9 Ir 0.5000 0.0000 0.5000
10 Si 0.5417 0.0834 0.7799
11 Ir 0.2210 0.4421 0.3881
12 Hf 0.1571 0.3141 0.6892
13 Ir 0.6173 0.2346 0.1912
14 Si 0.4583 0.9166 0.2201
15 Hf 0.0000 0.0000 0.0000
16 Si 0.6365 0.2730 0.4495
17 Hf 0.8429 0.6859 0.3108
18 Ir 0.3827 0.7654 0.8088